{
  "formula": "TlV3B4O12",
  "functional": "PBE+U",
  "state": "optimized geometry",
  "final_energy_ev_per_atom": -7.601,
  "cell": [[-5.994, 0.966, -1.141], [2.201, -1.666, -5.527], [-0.037, -5.327, 3.128]],
  "species": ["B", "V", "O", "B", "O", "O", "O", "O", "B", "Tl", "O", "O", "O", "B", "O", "V", "O", "O", "V", "O"],
  "fractional_positions": [[0.943, 0.057, 0.500], [0.555, 0.445, 0.000], [0.760, 0.012, 0.590], [0.057, 0.500, 0.943], [0.240, 0.410, 0.988], [0.500, 0.089, 0.911], [0.012, 0.590, 0.760], [0.355, 0.645, 0.500], [0.500, 0.500, 0.500], [0.000, 0.000, 0.000], [0.645, 0.500, 0.355], [0.988, 0.240, 0.410], [0.590, 0.760, 0.012], [0.500, 0.943, 0.057], [0.500, 0.355, 0.645], [0.000, 0.555, 0.445], [0.911, 0.500, 0.089], [0.089, 0.911, 0.500], [0.445, 0.000, 0.555], [0.410, 0.988, 0.240]]
}